Here is a relaxed Nd3Sm5P8 crystal from Alexandria. Energies are from PBE.

Computed properties:
Calculated volume ... 398.6 Å³ per cell
Final energy ... -6.632 eV/atom
Calculated formation energy ... -1558.3 meV per atom

a b c (Å): 8.2608 8.2608 8.2608
angles (deg): 60.00 60.00 60.00
Fractional coordinates of all 16 atoms:
Nd1 0.0000 0.5000 0.5000
Nd2 0.5000 0.0000 0.5000
Nd3 0.5000 0.5000 0.0000
Sm1 0.0000 0.0000 0.0000
Sm2 0.0000 0.0000 0.5000
Sm3 0.0000 0.5000 0.0000
Sm4 0.5000 0.0000 0.0000
Sm5 0.5000 0.5000 0.5000
P1 0.2477 0.7500 0.7500
P2 0.2488 0.2488 0.2488
P3 0.2500 0.2500 0.7523
P4 0.2500 0.7523 0.2500
P5 0.7500 0.2477 0.7500
P6 0.7500 0.7500 0.2477
P7 0.7512 0.7512 0.7512
P8 0.7523 0.2500 0.2500